No. 1
A geometry-optimized Ru2Rh5 structure, computed with PBE.

```
Ru2Rh5
1.0
2.619 0.000 0.667
1.140 6.376 1.000
-0.238 0.096 6.410
Ru Rh
2 5
direct
0.369 0.863 0.400
0.631 0.137 0.600
0.243 0.257 0.257
0.622 0.604 0.153
0.378 0.396 0.847
0.000 0.000 0.000
0.757 0.743 0.743
```

Computed properties:
SG: C2/m, No. 12
Energy of formation from the pure elements in eV/atom: 0.313
D(E_F) in states/eV/cell: 10.524

***

No. 2
A geometry-optimized ScMnRe structure, computed with PBE.

```
ScMnRe
1.0
-1.278 -1.032 -4.015
2.032 -2.944 2.453
-2.475 -0.866 1.011
Re Sc Mn
1 1 1
direct
0.667 0.333 0.280
0.333 0.667 0.673
0.000 0.000 0.047
```

Computed properties:
SG: P3m1, No. 156
E above lowest polymorph in meV/atom: 345
Energy of formation from the pure elements in eV/atom: 0.105
D(E_F) in states/eV/cell: 1.928

***

No. 3
A geometry-optimized Rb2Np2AlSe6 structure, computed with PBE.

```
Rb2Np2AlSe6
1.0
7.076 0.001 0.051
-3.496 6.152 0.051
-1.289 -2.216 8.122
Np Se Rb Al
2 6 2 1
direct
0.667 0.333 0.500
0.333 0.667 0.500
0.065 0.377 0.685
0.242 0.242 0.320
0.935 0.623 0.315
0.377 0.065 0.685
0.623 0.935 0.315
0.758 0.758 0.680
0.170 0.830 0.000
0.830 0.170 0.000
0.000 0.000 0.500
```

Computed properties:
SG: C2/m, No. 12
D(E_F) in states/eV/cell: 17.683
DFT total energy in eV per atom: -5.865

***

No. 4
A geometry-optimized Rb2CuNi2 structure, computed with PBE.

```
Rb2CuNi2
1.0
-4.633 7.143 4.991
-3.451 -6.695 6.378
2.341 0.365 1.650
Rb Cu Ni
4 2 4
direct
0.646 0.146 0.000
0.354 0.854 0.000
0.854 0.646 0.000
0.146 0.354 0.000
0.500 0.500 0.000
0.000 0.000 0.000
0.844 0.344 0.500
0.344 0.156 0.500
0.656 0.844 0.500
0.156 0.656 0.500
```

Computed properties:
SG: P4/mbm, No. 127
E above lowest polymorph in meV/atom: 654
Energy of formation from the pure elements in eV/atom: 1.321
D(E_F) in states/eV/cell: 24.853

***

Q: Look up the D(E_F) of the fourth one.
A: 24.853 states/eV/cell

***

Q: Look up the D(E_F) of the second one.
A: 1.928 states/eV/cell

***

Q: Which value of D(E_F) does entry 3 give?
A: 17.683 states/eV/cell

***

Q: What is the formula in the second record?
A: ScMnRe